*a*
## SiPb3 (GGA-PBE)

Data for an optimized crystal structure of SiPb3.

a b c (Å): 3.431 5.225 6.399
angles (deg): 90.00 90.00 90.00
Space group Pmm2 (No. 25)
Symmetry-distinct sites (fractional):
Si1 0.000 0.000 0.000
Pb1 0.000 0.500 0.676
Pb2 0.500 0.000 0.420
Pb3 0.500 0.500 0.115

For the total magnetic moment, the calculation gives 0.000 μB/atom. For the density of states at the Fermi level, the calculation gives 1.68 states/eV per cell. Its crystal system is orthorhombic. The volume is 28.678 Å³ per atom.

***

*b*
## SiPb3 (GGA-PBE)

Data for an optimized crystal structure of SiPb3.

a b c (Å): 3.593 5.125 12.446
angles (deg): 90.00 90.00 90.00
Space group Immm (No. 71)
Symmetry-distinct sites (fractional):
Si1 0.000 0.000 0.000
Pb1 0.000 0.000 0.500
Pb2 0.000 0.500 0.305

For the total magnetic moment, the calculation gives 0.000 μB/atom. For the density of states at the Fermi level, the calculation gives 3.94 states/eV per cell. Its crystal system is orthorhombic. The volume is 28.647 Å³ per atom.

***

Top of the stability list: *b*, leading by 0.069 eV/atom.

***

*a*
## K2Pt2Se (GGA-PBE)

Data for an optimized crystal structure of K2Pt2Se.

a b c (Å): 3.661 3.661 20.196
angles (deg): 90.00 90.00 90.00
Space group I4/mmm (No. 139)
Symmetry-distinct sites (fractional):
K1 0.000 0.000 0.104
Pt1 0.000 0.500 0.250
Se1 0.000 0.000 0.500

For the total magnetic moment, the calculation gives 0.000 μB/atom. For the density of states at the Fermi level, the calculation gives 11.70 states/eV per cell. Its crystal system is tetragonal. The volume is 27.065 Å³ per atom.

***

*b*
## K2Pt2Se (GGA-PBE)

Data for an optimized crystal structure of K2Pt2Se.

a b c (Å): 9.970 9.970 2.739
angles (deg): 90.00 90.00 90.00
Space group P4/mbm (No. 127)
Symmetry-distinct sites (fractional):
K1 0.195 0.305 0.000
Pt1 0.088 0.588 0.500
Se1 0.000 0.000 0.000

For the total magnetic moment, the calculation gives 0.064 μB/atom. For the density of states at the Fermi level, the calculation gives 8.89 states/eV per cell. Its crystal system is tetragonal. The volume is 27.232 Å³ per atom.

***

Top of the stability list: *a*, leading by 0.467 eV/atom.

***

*a*
## IrRuAu2 (GGA-PBE)

Data for an optimized crystal structure of IrRuAu2.

a b c (Å): 2.810 2.810 8.201
angles (deg): 90.00 90.00 90.00
Space group P4mm (No. 99)
Symmetry-distinct sites (fractional):
Ir1 0.000 0.000 0.000
Ru1 0.500 0.500 0.205
Au1 0.000 0.000 0.463
Au2 0.500 0.500 0.738

For the total magnetic moment, the calculation gives 0.000 μB/atom. For the density of states at the Fermi level, the calculation gives 4.53 states/eV per cell. Its crystal system is tetragonal. The volume is 16.185 Å³ per atom.

***

*b*
## IrRuAu2 (GGA-PBE)

Data for an optimized crystal structure of IrRuAu2.

a b c (Å): 2.794 4.814 9.753
angles (deg): 90.00 90.00 90.00
Space group Cmmm (No. 65)
Symmetry-distinct sites (fractional):
Ir1 0.000 0.000 0.000
Ru1 0.000 0.000 0.500
Au1 0.000 0.500 0.251

For the total magnetic moment, the calculation gives 0.328 μB/atom. For the density of states at the Fermi level, the calculation gives 10.62 states/eV per cell. Its crystal system is orthorhombic. The volume is 16.397 Å³ per atom.

***

Top of the stability list: *a*, leading by 0.346 eV/atom.

***

*a*
## B5C7 (GGA-PBE)

Data for an optimized crystal structure of B5C7.

a b c (Å): 4.702 2.615 6.468
angles (deg): 90.00 94.76 90.00
Space group Pm (No. 6)
Symmetry-distinct sites (fractional):
B1 0.000 0.000 0.000
B2 0.031 0.000 0.677
B3 0.174 0.500 0.377
B4 0.375 0.000 0.038
B5 0.682 0.000 0.379
C1 0.208 0.500 0.629
C2 0.321 0.000 0.274
C3 0.525 0.500 0.709
C4 0.532 0.500 0.946
C5 0.682 0.000 0.636
C6 0.827 0.500 0.053
C7 0.841 0.500 0.284

For the total magnetic moment, the calculation gives 0.000 μB/atom. For the density of states at the Fermi level, the calculation gives 2.21 states/eV per cell. Its crystal system is monoclinic. The volume is 6.604 Å³ per atom.

***

*b*
## B5C7 (GGA-PBE)

Data for an optimized crystal structure of B5C7.

a b c (Å): 3.877 2.569 8.039
angles (deg): 90.00 90.75 90.00
Space group Pm (No. 6)
Symmetry-distinct sites (fractional):
B1 0.000 0.000 0.000
B2 0.020 0.000 0.288
B3 0.258 0.500 0.622
B4 0.288 0.500 0.954
B5 0.707 0.000 0.753
C1 0.279 0.500 0.296
C2 0.501 0.500 0.789
C3 0.507 0.500 0.138
C4 0.516 0.500 0.446
C5 0.726 0.000 0.134
C6 0.737 0.000 0.462
C7 0.985 0.000 0.608

For the total magnetic moment, the calculation gives 0.000 μB/atom. For the density of states at the Fermi level, the calculation gives 2.00 states/eV per cell. Its crystal system is monoclinic. The volume is 6.672 Å³ per atom.

***

Top of the stability list: *b*, leading by 0.011 eV/atom.